No. 1
A plane-wave DFT calculation with PBE was carried out for an optimized crystal structure of TiHgPt.

abc: 4.687 4.687 6.049
angles: 90.01 90.01 109.88
Positions (direct):
Ti  0.750  0.750  0.821
Hg  0.750  0.750  0.357
Pt  0.750  0.250  0.000
Ti  0.250  0.250  0.179
Pt  0.250  0.750  0.000
Hg  0.250  0.250  0.643

The total energy is -30.6 eV/cell. The calculation puts the formation energy from the elements at -0.356 eV per atom. As for the space group: Cmme (67). For the energy relative to the lowest polymorph listed for this composition, the calculation gives 0.000 eV/atom.

No. 2
A plane-wave DFT calculation with PBE was carried out for an optimized crystal structure of TiHgPt2.

abc: 3.114 3.114 7.190
angles: 90.00 90.00 90.00
Positions (direct):
Ti  0.500  0.500  0.000
Pt  0.000  0.000  0.211
Hg  0.500  0.500  0.500
Pt  0.000  0.000  0.789

The total energy is -22.5 eV/cell. The calculation puts the formation energy from the elements at -0.552 eV per atom. As for the space group: P4/mmm (123).

No. 3
A plane-wave DFT calculation with PBE was carried out for an optimized crystal structure of ZrTi2HgPt.

abc: 4.681 5.257 4.681
angles: 90.00 90.00 90.00
Positions (direct):
Hg  0.000  0.500  0.000
Ti  0.000  0.000  0.500
Ti  0.500  0.000  0.000
Zr  0.000  0.000  0.000
Pt  0.500  0.500  0.500

The total energy is -24.5 eV/cell. The calculation puts the formation energy from the elements at 1.229 eV per atom. As for the space group: P4/mmm (123).

No. 4
A plane-wave DFT calculation with PBE was carried out for an optimized crystal structure of Tl2HgPt.

abc: 5.131 5.131 5.131
angles: 60.00 60.00 60.00
Positions (direct):
Tl  0.000  0.000  0.000
Tl  0.250  0.250  0.250
Hg  0.500  0.500  0.500
Pt  0.750  0.750  0.750

The total energy is -10.4 eV/cell. The calculation puts the formation energy from the elements at 0.156 eV per atom. As for the space group: F-43m (216). For the energy relative to the lowest polymorph listed for this composition, the calculation gives 0.162 eV/atom.

No. 5
A plane-wave DFT calculation with PBE was carried out for an optimized crystal structure of TlHgPt2.

abc: 3.039 4.746 5.606
angles: 90.00 90.00 90.00
Positions (direct):
Hg  0.500  0.500  0.874
Pt  0.500  0.500  0.374
Pt  0.000  0.000  0.876
Tl  0.000  0.000  0.376

The total energy is -14.3 eV/cell. The calculation puts the formation energy from the elements at 0.112 eV per atom. As for the space group: Pmm2 (25).

No. 6
A plane-wave DFT calculation with PBE was carried out for an optimized crystal structure of TlHg2Pt2.

abc: 4.106 4.106 7.178
angles: 73.38 73.38 90.00
Positions (direct):
Hg  0.250  0.750  0.500
Pt  0.401  0.401  0.197
Tl  0.000  0.000  0.000
Hg  0.750  0.250  0.500
Pt  0.599  0.599  0.803

The total energy is -14.4 eV/cell. The calculation puts the formation energy from the elements at 0.121 eV per atom. As for the space group: I4/mmm (139). For the energy relative to the lowest polymorph listed for this composition, the calculation gives 0.103 eV/atom.

No. 7
A plane-wave DFT calculation with PBE was carried out for an optimized crystal structure of TlHg2Pt.

abc: 3.068 3.765 8.113
angles: 90.00 90.00 90.00
Positions (direct):
Pt  0.000  0.000  0.487
Hg  0.000  0.000  0.015
Hg  0.500  0.500  0.290
Tl  0.500  0.500  0.708

The total energy is -8.7 eV/cell. The calculation puts the formation energy from the elements at 0.086 eV per atom. As for the space group: Pmm2 (25). For the energy relative to the lowest polymorph listed for this composition, the calculation gives 0.085 eV/atom.

No. 8
A plane-wave DFT calculation with PBE was carried out for an optimized crystal structure of Tl2HgPt.

abc: 7.634 7.634 7.634
angles: 156.37 143.96 43.55
Positions (direct):
Pt  0.250  0.750  0.500
Tl  0.430  0.430  0.000
Tl  0.070  0.070  0.000
Hg  0.750  0.250  0.500

The total energy is -11.1 eV/cell. The calculation puts the formation energy from the elements at 0.003 eV per atom. As for the space group: Immm (71). For the energy relative to the lowest polymorph listed for this composition, the calculation gives 0.008 eV/atom.

No. 9
A plane-wave DFT calculation with PBE was carried out for an optimized crystal structure of Tl10Hg4Pt.

abc: 7.310 8.822 8.822
angles: 80.12 65.53 65.53
Positions (direct):
Tl  0.859  0.716  0.097
Tl  0.750  0.500  0.500
Hg  0.399  0.807  0.396
Tl  0.956  0.903  0.716
Hg  0.205  0.396  0.193
Hg  0.795  0.604  0.807
Pt  0.000  0.000  0.000
Tl  0.672  0.284  0.903
Tl  0.575  0.097  0.284
Tl  0.328  0.716  0.097
Tl  0.141  0.284  0.903
Hg  0.601  0.193  0.604
Tl  0.250  0.500  0.500
Tl  0.425  0.903  0.716
Tl  0.044  0.097  0.284

The total energy is -30.7 eV/cell. The calculation puts the formation energy from the elements at 0.017 eV per atom. As for the space group: I4/m (87).

No. 10
A plane-wave DFT calculation with PBE was carried out for an optimized crystal structure of Tl2Hg8Pt.

abc: 4.767 4.767 12.948
angles: 90.00 90.00 90.00
Positions (direct):
Hg  0.500  0.000  0.121
Hg  0.500  0.000  0.879
Hg  0.500  0.500  0.690
Hg  0.500  0.000  0.500
Hg  0.000  0.500  0.879
Hg  0.000  0.500  0.500
Pt  0.000  0.000  0.000
Tl  0.000  0.000  0.697
Tl  0.000  0.000  0.303
Hg  0.500  0.500  0.310
Hg  0.000  0.500  0.121

The total energy is -13.1 eV/cell. The calculation puts the formation energy from the elements at 0.004 eV per atom. As for the space group: P4/mmm (123).

No. 11
A plane-wave DFT calculation with PBE was carried out for an optimized crystal structure of TlHgPt2.

abc: 5.584 5.584 5.584
angles: 138.22 137.98 60.75
Positions (direct):
Pt  0.989  0.989  0.000
Pt  0.740  0.240  0.500
Hg  0.260  0.760  0.500
Tl  0.511  0.511  0.000

The total energy is -14.3 eV/cell. The calculation puts the formation energy from the elements at 0.116 eV per atom. As for the space group: Imm2 (44).

No. 12
A plane-wave DFT calculation with PBE was carried out for an optimized crystal structure of TlHgPt2.

abc: 7.522 7.522 6.063
angles: 51.66 51.66 90.00
Positions (direct):
Pt  0.875  0.875  0.750
Tl  0.000  0.000  0.000
Pt  0.375  0.375  0.750
Hg  0.500  0.500  0.000
Pt  0.125  0.625  0.250
Tl  0.750  0.250  0.500
Pt  0.625  0.125  0.250
Hg  0.250  0.750  0.500

The total energy is -27.8 eV/cell. The calculation puts the formation energy from the elements at 0.214 eV per atom. As for the space group: I-42d (122).

Calculated total magnetization, 0.0 0.0 0.0 0.0 0.0 0.0 0.0 0.0 0.0 0.0 0.0 0.0 μB per formula unit (same order as the records).